(1)
VASP calculation (GGA-PBE) on NaCa2Ir2 after structural relaxation.

abc: 5.4396 5.4396 8.8558
angles: 90.00 90.00 90.00
Element x y z (fractional)
1 Na 0.0000 0.0000 0.0000
2 Na 0.5000 0.5000 0.5000
3 Ca 0.0000 0.5000 0.2500
4 Ca 0.0000 0.5000 0.7500
5 Ca 0.5000 0.0000 0.2500
6 Ca 0.5000 0.0000 0.7500
7 Ir 0.0000 0.0000 0.3626
8 Ir 0.0000 0.0000 0.6374
9 Ir 0.5000 0.5000 0.1374
10 Ir 0.5000 0.5000 0.8626

Output
The energy relative to the lowest polymorph listed for this composition comes out at 14.43 kJ/mol of atoms. The value obtained for the final energy is -43.9 eV per cell. Its total magnetization is 0.202 μB per atom. Its crystal system is tetragonal.

---

(2)
VASP calculation (GGA-PBE) on Dy4PtSe2Cl after structural relaxation.

abc: 7.1335 3.9485 7.2396
angles: 90.00 108.07 90.00
Element x y z (fractional)
1 Dy 0.2292 0.0000 0.2333
2 Dy 0.2346 0.5000 0.7479
3 Dy 0.7654 0.5000 0.2521
4 Dy 0.7708 0.0000 0.7667
5 Pt 0.0000 0.5000 0.0000
6 Se 0.0000 0.0000 0.5000
7 Se 0.5000 0.5000 0.5000
8 Cl 0.5000 0.0000 0.0000

Output
The value obtained for the uncorrected formation energy is -12.1 eV per formula unit. The value obtained for the final energy is -45.4 eV per cell. Its total magnetization is 0.000 μB per atom. Its crystal system is monoclinic.

---

(3)
VASP calculation (GGA-PBE) on Tm3BiRh after structural relaxation.

abc: 7.9520 4.3498 8.3829
angles: 90.00 112.50 90.00
Element x y z (fractional)
1 Tm 0.0434 0.2500 0.2503
2 Tm 0.3174 0.7500 0.5968
3 Tm 0.3296 0.2500 0.9283
4 Tm 0.6704 0.7500 0.0717
5 Tm 0.6826 0.2500 0.4032
6 Tm 0.9566 0.7500 0.7497
7 Bi 0.3332 0.7500 0.2111
8 Bi 0.6668 0.2500 0.7889
9 Rh 0.0831 0.2500 0.6085
10 Rh 0.9169 0.7500 0.3915

Output
The value obtained for the final energy is -56.3 eV per cell. Its total magnetization is 0.000 μB per atom. Its crystal system is monoclinic.

---

(4)
VASP calculation (GGA-PBE) on Sm5TlRh2 after structural relaxation.

abc: 8.9206 8.9206 8.9206
angles: 127.30 127.30 77.76
Element x y z (fractional)
1 Sm 0.0000 0.0000 0.0000
2 Sm 0.0278 0.5278 0.8229
3 Sm 0.2050 0.0278 0.5000
4 Sm 0.2950 0.7950 0.8229
5 Sm 0.4722 0.2950 0.5000
6 Sm 0.5000 0.5000 0.0000
7 Sm 0.5278 0.7050 0.5000
8 Sm 0.7050 0.2050 0.1771
9 Sm 0.7950 0.9722 0.5000
10 Sm 0.9722 0.4722 0.1771
11 Tl 0.2500 0.2500 0.0000
12 Tl 0.7500 0.7500 0.0000
13 Rh 0.1377 0.3623 0.5000
14 Rh 0.3623 0.8623 0.2245
15 Rh 0.6377 0.1377 0.7755
16 Rh 0.8623 0.6377 0.5000

Output
The value obtained for the final energy is -89.9 eV per cell. Its total magnetization is 0.000 μB per atom. Its crystal system is tetragonal.

---

(5)
VASP calculation (GGA-PBE) on TiTePbI2 after structural relaxation.

abc: 5.6259 5.6259 5.6545
angles: 90.00 90.00 90.00
Element x y z (fractional)
1 Ti 0.0000 0.0000 0.0000
2 Te 0.0000 0.0000 0.5000
3 Pb 0.5000 0.5000 0.5000
4 I 0.0000 0.5000 0.0000
5 I 0.5000 0.0000 0.0000

Output
The energy relative to the lowest polymorph listed for this composition comes out at 0.00 kJ/mol of atoms. The value obtained for the uncorrected formation energy is -0.9 eV per formula unit. The value obtained for the final energy is -18.8 eV per cell. Its total magnetization is 0.401 μB per atom. Its crystal system is tetragonal.

---

(6)
VASP calculation (GGA-PBE) on MgTeWI2 after structural relaxation.

abc: 5.4320 5.4320 5.8095
angles: 90.00 90.00 90.00
Element x y z (fractional)
1 Mg 0.0000 0.0000 0.0000
2 Te 0.0000 0.0000 0.5000
3 W 0.5000 0.5000 0.5000
4 I 0.0000 0.5000 0.0000
5 I 0.5000 0.0000 0.0000

Output
The energy relative to the lowest polymorph listed for this composition comes out at 48.55 kJ/mol of atoms. The value obtained for the uncorrected formation energy is 5.1 eV per formula unit. The value obtained for the final energy is -15.7 eV per cell. Its total magnetization is 0.800 μB per atom. Its crystal system is tetragonal.